A relaxed Ce2P2Pt crystal. Source: Alexandria via LeMat-Bulk, functional PBE-GGA.

Calculated values
E_form   -1245 meV per atom
Crystal system   monoclinic
E_tot   -0.257 hartree per atom
Excess energy over the best structure of this formula in the dataset   0.018 eV per atom

The structure in POSCAR format:
```
Ce2P2Pt
1.0
5.819 0.000 0.000
0.000 3.988 0.000
-0.510 0.000 9.966
Ce P Pt
4 4 2
Cartesian
1.243 0.997 1.890 Ce
1.204 0.997 5.989 Ce
4.105 2.991 3.977 Ce
4.067 2.991 8.076 Ce
1.186 2.991 3.921 P
1.117 2.991 8.101 P
4.193 0.997 1.865 P
4.124 0.997 6.045 P
1.873 0.997 9.143 Pt
3.437 2.991 0.823 Pt
```

A relaxed CsZn2GaIr crystal. Source: Alexandria via LeMat-Bulk, functional PBE-GGA.

Calculated values
E_form   -183 meV per atom
Crystal system   tetragonal
E_tot   -0.119 hartree per atom

The structure in POSCAR format:
```
CsZn2GaIr
1.0
5.077 0.000 0.000
0.000 5.077 0.000
0.000 0.000 4.869
Cs Zn Ga Ir
1 2 1 1
Cartesian
0.000 0.000 0.000 Cs
0.000 2.538 2.434 Zn
2.538 0.000 2.434 Zn
2.538 2.538 0.000 Ga
2.538 2.538 2.434 Ir
```

A relaxed AcYTmMg crystal. Source: Alexandria via LeMat-Bulk, functional PBE-GGA.

Calculated values
E_form   48 meV per atom
Crystal system   cubic
E_tot   -0.151 hartree per atom

The structure in POSCAR format:
```
AcYTmMg
1.0
0.000 4.026 4.026
4.026 0.000 4.026
4.026 4.026 0.000
Ac Y Tm Mg
1 1 1 1
Cartesian
0.000 0.000 0.000 Ac
4.026 4.026 4.026 Y
2.013 2.013 2.013 Tm
6.039 6.039 6.039 Mg
```

A relaxed ZrVCrS2 crystal. Source: Alexandria via LeMat-Bulk, functional PBE-GGA.

Calculated values
Crystal system   tetragonal
E_tot   -0.221 hartree per atom
Formation energy without anion corrections   1.106 eV/atom

The structure in POSCAR format:
```
ZrVCrS2
1.0
4.887 0.000 0.000
0.000 4.887 0.000
0.000 0.000 4.948
Zr V Cr S
1 1 1 2
Cartesian
0.000 0.000 0.000 Zr
0.000 0.000 2.474 V
2.443 2.443 2.474 Cr
0.000 2.443 0.000 S
2.443 0.000 0.000 S
```

A relaxed BaAlMo2 crystal. Source: Alexandria via LeMat-Bulk, functional PBE-GGA.

Calculated values
E_form   1189 meV per atom
Crystal system   orthorhombic
E_tot   -0.207 hartree per atom

The structure in POSCAR format:
```
BaAlMo2
1.0
3.082 -4.753 0.000
3.082 4.753 0.000
0.000 0.000 2.803
Ba Al Mo
1 1 2
Cartesian
0.000 0.000 0.000 Ba
3.082 0.000 0.000 Al
1.541 2.376 1.401 Mo
1.541 -2.376 1.401 Mo
```

A relaxed NaCd2SnO4 crystal. Source: Alexandria via LeMat-Bulk, functional PBE-GGA.

Calculated values
Crystal system   tetragonal
E_tot   -0.168 hartree per atom
Formation energy without anion corrections   -1.191 eV/atom

The structure in POSCAR format:
```
NaCd2SnO4
1.0
-2.388 2.388 4.739
2.388 -2.388 4.739
2.388 2.388 -4.739
Na Cd Sn O
1 2 1 4
Cartesian
0.000 0.000 0.000 Na
0.000 0.000 4.739 Cd
0.000 2.388 2.370 Cd
2.388 0.000 2.370 Sn
2.388 0.000 0.194 O
0.000 0.000 2.409 O
2.388 0.000 4.546 O
0.000 0.000 7.069 O
```

A relaxed CePa2V crystal. Source: Alexandria via LeMat-Bulk, functional PBE-GGA.

Calculated values
E_form   299 meV per atom
Crystal system   trigonal
E_tot   -0.302 hartree per atom
Excess energy over the best structure of this formula in the dataset   0.121 eV per atom

The structure in POSCAR format:
```
CePa2V
1.0
1.516 0.875 11.006
-1.516 0.875 11.006
0.000 -1.751 11.006
Ce Pa V
1 2 1
Cartesian
0.000 0.000 0.000 Ce
0.000 0.000 3.009 Pa
0.000 0.000 30.009 Pa
0.000 0.000 16.509 V
```

A relaxed Ba2Hg3Sb crystal. Source: Alexandria via LeMat-Bulk, functional PBE-GGA.

Calculated values
Crystal system   orthorhombic
E_tot   -0.077 hartree per atom
Formation energy without anion corrections   -0.610 eV/atom

The structure in POSCAR format:
```
Ba2Hg3Sb
1.0
0.000 5.198 8.891
4.380 0.000 8.891
4.380 5.198 0.000
Ba Hg Sb
4 6 2
Cartesian
6.627 5.198 8.891 Ba
2.190 2.599 4.445 Ba
6.571 7.797 13.336 Ba
2.134 5.198 8.891 Ba
4.380 5.198 2.943 Hg
4.380 2.585 7.437 Hg
4.380 2.585 10.345 Hg
4.380 7.810 7.437 Hg
4.380 7.810 10.345 Hg
4.380 5.198 14.839 Hg
4.380 5.198 5.955 Sb
4.380 5.198 11.827 Sb
```

A relaxed RuRhPb crystal. Source: Alexandria via LeMat-Bulk, functional PBE-GGA.

Calculated values
E_form   495 meV per atom
Crystal system   trigonal
E_tot   -0.231 hartree per atom
Excess energy over the best structure of this formula in the dataset   0.077 eV per atom

The structure in POSCAR format:
```
RuRhPb
1.0
4.502 0.000 0.000
-2.251 3.899 0.000
0.000 0.000 3.014
Ru Rh Pb
1 1 1
Cartesian
0.000 0.000 0.000 Ru
0.000 2.599 1.839 Rh
2.251 1.300 0.994 Pb
```

A relaxed MgCoIr2I crystal. Source: Alexandria via LeMat-Bulk, functional PBE-GGA.

Calculated values
Crystal system   tetragonal
E_tot   -0.171 hartree per atom
Formation energy without anion corrections   0.928 eV/atom

The structure in POSCAR format:
```
MgCoIr2I
1.0
4.533 0.000 0.000
0.000 4.533 0.000
0.000 0.000 4.782
Mg Co Ir I
1 1 2 1
Cartesian
0.000 0.000 0.000 Mg
0.000 0.000 2.391 Co
0.000 2.266 2.391 Ir
2.266 0.000 2.391 Ir
2.266 2.266 0.000 I
```

A relaxed Li2Pr3Zn9 crystal. Source: Alexandria via LeMat-Bulk, functional PBE-GGA.

Calculated values
E_form   -299 meV per atom
Crystal system   orthorhombic
E_tot   -0.089 hartree per atom

The structure in POSCAR format:
```
Li2Pr3Zn9
1.0
-2.280 4.409 6.811
2.280 -4.409 6.811
2.280 4.409 -6.811
Li Pr Zn
2 3 9
Cartesian
0.000 1.645 0.000 Li
0.000 7.174 0.000 Li
0.000 0.000 2.819 Pr
0.000 0.000 6.811 Pr
0.000 0.000 10.804 Pr
2.280 0.000 0.000 Zn
2.280 1.890 -1.836 Zn
2.280 -1.271 4.630 Zn
2.280 1.890 1.836 Zn
2.280 1.271 4.630 Zn
0.000 3.139 2.182 Zn
0.000 2.519 4.975 Zn
0.000 5.680 2.182 Zn
0.000 2.519 8.647 Zn
```

A relaxed CdCuCl3 crystal. Source: Alexandria via LeMat-Bulk, functional PBE-GGA.

Calculated values
Crystal system   monoclinic
E_tot   -0.106 hartree per atom
Excess energy over the best structure of this formula in the dataset   0.009 eV per atom
Formation energy without anion corrections   -0.773 eV/atom

The structure in POSCAR format:
```
CdCuCl3
1.0
7.029 -5.714 0.000
7.029 5.714 0.000
-2.933 0.000 6.358
Cd Cu Cl
4 4 12
Cartesian
4.829 4.594 4.769 Cd
6.296 2.622 1.590 Cd
4.829 -2.622 4.769 Cd
6.296 -4.594 1.590 Cd
1.645 0.789 5.430 Cu
3.111 -0.789 2.250 Cu
8.014 0.789 4.108 Cu
9.481 -0.789 0.929 Cu
-0.393 0.939 4.307 Cl
3.014 2.812 5.360 Cl
1.073 -0.939 1.128 Cl
4.304 0.920 1.335 Cl
6.645 2.812 4.178 Cl
2.837 -0.920 4.514 Cl
8.288 0.920 1.844 Cl
4.481 -2.812 2.181 Cl
6.821 -0.920 5.023 Cl
10.052 0.939 5.230 Cl
8.111 -2.812 0.998 Cl
11.519 -0.939 2.051 Cl
```

A relaxed LaHoPbO2 crystal. Source: Alexandria via LeMat-Bulk, functional PBE-GGA.

Calculated values
Crystal system   tetragonal
E_tot   -0.263 hartree per atom
Formation energy without anion corrections   -2.543 eV/atom

The structure in POSCAR format:
```
LaHoPbO2
1.0
-1.966 1.966 7.248
1.966 -1.966 7.248
1.966 1.966 -7.248
La Ho Pb O
1 1 1 2
Cartesian
0.000 0.000 0.000 La
0.000 0.000 4.901 Ho
0.000 0.000 9.730 Pb
1.966 0.000 5.954 O
0.000 1.966 5.954 O
```

A relaxed BaZn3Rh crystal. Source: Alexandria via LeMat-Bulk, functional PBE-GGA.

Calculated values
E_form   -133 meV per atom
Crystal system   trigonal
E_tot   -0.101 hartree per atom
Excess energy over the best structure of this formula in the dataset   0.224 eV per atom

The structure in POSCAR format:
```
BaZn3Rh
1.0
3.753 2.167 4.745
-3.753 2.167 4.745
0.000 -4.334 4.745
Ba Zn Rh
2 6 2
Cartesian
0.000 0.000 2.294 Ba
0.000 0.000 11.942 Ba
-1.263 -2.147 4.745 Zn
-2.491 -0.020 4.745 Zn
-2.491 0.020 9.491 Zn
-1.228 2.167 4.745 Zn
-1.263 2.147 9.491 Zn
1.228 2.167 4.745 Zn
0.000 0.000 5.660 Rh
0.000 0.000 8.576 Rh
```

A relaxed CuGeAu3 crystal. Source: Alexandria via LeMat-Bulk, functional PBE-GGA.

Calculated values
E_form   559 meV per atom
Crystal system   cubic
E_tot   -0.116 hartree per atom
Excess energy over the best structure of this formula in the dataset   0.528 eV per atom

The structure in POSCAR format:
```
CuGeAu3
1.0
4.782 0.000 0.000
0.000 4.782 0.000
0.000 0.000 4.782
Cu Ge Au
1 1 3
Cartesian
0.000 0.000 0.000 Cu
2.391 2.391 2.391 Ge
0.000 0.000 2.391 Au
0.000 2.391 0.000 Au
2.391 0.000 0.000 Au
```

A relaxed Rb2Tl5Ag4 crystal. Source: Alexandria via LeMat-Bulk, functional PBE-GGA.

Calculated values
E_form   69 meV per atom
Crystal system   monoclinic
E_tot   -0.082 hartree per atom

The structure in POSCAR format:
```
Rb2Tl5Ag4
1.0
6.962 -3.330 0.000
6.962 3.330 0.000
-6.734 0.000 6.978
Rb Tl Ag
2 5 4
Cartesian
1.450 0.000 1.400 Rb
5.741 0.000 5.578 Rb
2.395 1.668 4.723 Tl
4.795 1.668 2.255 Tl
6.962 0.000 0.000 Tl
2.395 -1.668 4.723 Tl
4.795 -1.668 2.255 Tl
-2.585 0.000 6.270 Ag
-0.548 0.000 4.182 Ag
7.739 0.000 2.796 Ag
9.775 0.000 0.707 Ag
```

A relaxed PmPrTeP crystal. Source: Alexandria via LeMat-Bulk, functional PBE-GGA.

Calculated values
Crystal system   trigonal
E_tot   -0.223 hartree per atom
Formation energy without anion corrections   -1.545 eV/atom

The structure in POSCAR format:
```
PmPrTeP
1.0
2.109 1.218 7.508
-2.109 1.218 7.508
0.000 -2.435 7.508
Pm Pr Te P
1 1 1 1
Cartesian
0.000 0.000 0.000 Pm
0.000 0.000 4.334 Pr
0.000 0.000 9.632 Te
0.000 0.000 13.493 P
```

A relaxed SmZnH8Ir2 crystal. Source: Alexandria via LeMat-Bulk, functional PBE-GGA.

Calculated values
Crystal system   monoclinic
E_tot   -0.162 hartree per atom

The structure in POSCAR format:
```
SmZnH8Ir2
1.0
4.095 -2.156 0.000
4.095 2.156 0.000
-2.326 0.000 5.820
Sm Zn H Ir
1 1 8 2
Cartesian
0.000 0.000 0.000 Sm
2.932 0.000 2.910 Zn
2.249 1.039 1.072 H
0.878 0.000 2.198 H
1.519 0.000 4.808 H
3.616 1.039 4.748 H
2.249 -1.039 1.072 H
4.345 0.000 1.013 H
4.986 0.000 3.623 H
3.616 -1.039 4.748 H
0.211 0.000 3.738 Ir
5.653 0.000 2.082 Ir
```

A relaxed Sr2NdBr crystal. Source: Alexandria via LeMat-Bulk, functional PBE-GGA.

Calculated values
Crystal system   tetragonal
E_tot   -0.112 hartree per atom
Excess energy over the best structure of this formula in the dataset   0.000 eV per atom
Formation energy without anion corrections   -0.603 eV/atom

The structure in POSCAR format:
```
Sr2NdBr
1.0
3.839 0.000 0.000
0.000 3.839 0.000
0.000 0.000 10.449
Sr Nd Br
2 1 1
Cartesian
0.000 0.000 2.328 Sr
0.000 0.000 8.121 Sr
1.920 1.920 5.224 Nd
1.920 1.920 0.000 Br
```

A relaxed LiTl2Cl crystal. Source: Alexandria via LeMat-Bulk, functional PBE-GGA.

Calculated values
Crystal system   orthorhombic
E_tot   -0.094 hartree per atom
Excess energy over the best structure of this formula in the dataset   0.303 eV per atom
Formation energy without anion corrections   -0.439 eV/atom

The structure in POSCAR format:
```
LiTl2Cl
1.0
3.303 -4.433 0.000
3.303 4.433 0.000
0.000 0.000 3.583
Li Tl Cl
1 2 1
Cartesian
0.000 0.000 0.000 Li
1.652 2.217 1.791 Tl
1.652 -2.217 1.791 Tl
3.303 0.000 0.000 Cl
```